Here is crystalline CrCdIO4 at its relaxed geometry from Alexandria. Energies are from PBE with a Hubbard U.

Values from the calculation:
As for the total energy: -5.1688 eV per atom. Its space group is C2/m, No. 12.

a = 6.834 Å, b = 6.834 Å, c = 6.781 Å
α = 100.32°, β = 100.32°, γ = 54.08°
Element x y z (fractional)
Cr  0.135  0.135  0.247
Cr  0.865  0.865  0.753
Cd  0.196  0.196  0.817
Cd  0.804  0.804  0.183
I  0.452  0.452  0.304
I  0.548  0.548  0.696
O  0.002  0.002  0.770
O  0.045  0.606  0.872
O  0.197  0.197  0.487
O  0.394  0.955  0.128
O  0.606  0.045  0.872
O  0.803  0.803  0.513
O  0.955  0.394  0.128
O  0.998  0.998  0.230